Record 1
VASP calculation (PBE) on a relaxed structure of TcMo4N4.

- Spin magnetization: 0.0 μB per cell
- VASP energy: -9.73 eV per atom
- Crystal system: tetragonal
- Formation energy without anion corrections: -67 meV per atom

a b c (Å): 4.0094 7.0550 7.0550
angles (deg): 90.00 90.00 90.00
Fractional positions:
Mo1 0.5000 0.0532 0.2888
N1 0.5000 0.6398 0.7634
N2 0.5000 0.2366 0.6398
Tc1 0.5000 0.5000 0.5000
N3 0.5000 0.7634 0.3602
Mo2 0.5000 0.2888 0.9468
Mo3 0.0000 0.5532 0.7888
Mo4 0.5000 0.9468 0.7112
Tc2 0.0000 0.0000 0.0000
Mo5 0.0000 0.4468 0.2112
N4 0.0000 0.7366 0.1398
N5 0.0000 0.1398 0.2634
Mo6 0.5000 0.7112 0.0532
Mo7 0.0000 0.2112 0.5532
Mo8 0.0000 0.7888 0.4468
N6 0.0000 0.2634 0.8602
N7 0.5000 0.3602 0.2366
N8 0.0000 0.8602 0.7366

Record 2
VASP calculation (PBE) on a relaxed structure of Rb2PdSe.

- Spin magnetization: 0.0 μB per cell
- VASP energy: -2.65 eV per atom
- Crystal system: tetragonal
- Formation energy without anion corrections: 3 meV per atom

a b c (Å): 5.0027 5.0027 11.3658
angles (deg): 77.29 77.29 90.00
Fractional positions:
Rb1 0.8750 0.8866 0.7500
Se1 0.5000 0.5000 0.0000
Pd1 0.7500 0.2500 0.5000
Rb2 0.6366 0.1250 0.2500
Rb3 0.1134 0.6250 0.2500
Se2 0.2500 0.7500 0.5000
Rb4 0.3750 0.3634 0.7500
Pd2 0.0000 0.0000 0.0000

Record 3
VASP calculation (PBE) on a relaxed structure of NaSbSe.

- Polymorph energy (0 for the lowest one): 334 meV per atom
- Spin magnetization: 0.0 μB per cell
- VASP energy: -3.19 eV per atom
- Crystal system: orthorhombic
- Formation energy without anion corrections: -210 meV per atom

a b c (Å): 7.1661 3.9272 8.0081
angles (deg): 104.19 116.58 90.00
Fractional positions:
Na1 0.3387 0.8387 0.6773
Sb1 0.2782 0.5000 0.0000
Na2 0.6613 0.1613 0.3227
Sb2 0.7218 0.5000 0.0000
Se1 0.1304 0.6304 0.2609
Se2 0.8696 0.3696 0.7391